{
  "formula": "TaSiNi2",
  "functional": "GGA-PBEsol",
  "state": "optimized geometry",
  "lattice": [[1.3538, 0.7816, 8.0503], [-1.3538, 0.7816, 8.0503], [0.0000, -1.5632, 8.0503]],
  "species": ["Ta", "Si", "Ni", "Ni"],
  "fractional_positions": [[0.0000, 0.0000, 0.0000], [0.5000, 0.5000, 0.5000], [0.2406, 0.2406, 0.2406], [0.7594, 0.7594, 0.7594]],
  "raw_formation_energy_ev_per_atom": -0.17,
  "dos_at_fermi_per_ev_cell": 2.8
}

---

{
  "formula": "Be2Mo2Os",
  "functional": "GGA-PBEsol",
  "state": "optimized geometry",
  "lattice": [[6.1580, 0.0000, 0.0000], [0.0000, 6.1580, 0.0000], [0.0000, 0.0000, 3.1036]],
  "species": ["Be", "Be", "Be", "Be", "Mo", "Mo", "Mo", "Mo", "Os", "Os"],
  "fractional_positions": [[0.1210, 0.3790, 0.0000], [0.3790, 0.8790, 0.0000], [0.6210, 0.1210, 0.0000], [0.8790, 0.6210, 0.0000], [0.1730, 0.6730, 0.5000], [0.3270, 0.1730, 0.5000], [0.6730, 0.8270, 0.5000], [0.8270, 0.3270, 0.5000], [0.0000, 0.0000, 0.0000], [0.5000, 0.5000, 0.0000]],
  "formation_enthalpy_0k_ev_per_atom": -0.148,
  "e_above_lowest_polymorph_ev_per_fu": 0.00,
  "dos_at_fermi_per_ev_cell": 7.6
}

---

{
  "formula": "HgTeMo2",
  "functional": "GGA-PBEsol",
  "state": "optimized geometry",
  "lattice": [[1.5454, 0.8922, 8.7307], [-1.5454, 0.8922, 8.7307], [0.0000, -1.7844, 8.7307]],
  "species": ["Hg", "Te", "Mo", "Mo"],
  "fractional_positions": [[0.0000, 0.0000, 0.0000], [0.5000, 0.5000, 0.5000], [0.2459, 0.2459, 0.2459], [0.7541, 0.7541, 0.7541]],
  "raw_formation_energy_ev_per_atom": 0.53,
  "e_above_lowest_polymorph_ev_per_fu": 0.00,
  "dos_at_fermi_per_ev_cell": 2.9
}